Record 1
A relaxed TlHgPt2 crystal. Source: Alexandria via LeMat-Bulk, functional GGA-PBEsol.

abc: 4.219 4.212 4.994
angles: 114.94 114.99 90.00
Element x y z (fractional)
1 Tl 0.500 0.000 0.000
2 Hg 0.000 0.500 0.000
3 Pt 0.250 0.250 0.501
4 Pt 0.750 0.750 0.499

Formation enthalpy at 0 K (meV per atom): 67
Energy (eV per atom): -4.21
Space-group type: I4/mmm (139)
Mass density (g/cm3): 18.5


Record 2
A relaxed TlHgPt2 crystal. Source: Alexandria via LeMat-Bulk, functional GGA-PBEsol.

abc: 2.970 4.673 5.506
angles: 90.00 90.00 90.00
Element x y z (fractional)
1 Tl 0.000 0.000 0.382
2 Pt 0.000 0.000 0.882
3 Pt 0.500 0.500 0.368
4 Hg 0.500 0.500 0.868

Formation enthalpy at 0 K (meV per atom): 114
Energy (eV per atom): -4.17
Space-group type: Pmm2 (25)
Mass density (g/cm3): 17.3


Record 3
A relaxed Tl2HgPt crystal. Source: Alexandria via LeMat-Bulk, functional GGA-PBEsol.

abc: 3.023 4.656 7.412
angles: 108.31 101.77 90.00
Element x y z (fractional)
1 Tl 0.318 0.318 0.635
2 Hg 0.500 0.000 0.000
3 Pt 0.000 0.500 0.000
4 Tl 0.682 0.682 0.365

Formation enthalpy at 0 K (meV per atom): 7
Energy (eV per atom): -3.19
Energy above the most stable polymorph in this dataset (meV per atom): 0
Space-group type: Immm (71)
Mass density (g/cm3): 13.8


Record 4
A relaxed Tl2HgPt crystal. Source: Alexandria via LeMat-Bulk, functional GGA-PBEsol.

abc: 5.353 6.832 6.832
angles: 81.17 66.93 66.93
Element x y z (fractional)
1 Tl 0.375 0.409 0.091
2 Tl 0.216 0.909 0.409
3 Hg 0.000 0.000 0.000
4 Pt 0.250 0.500 0.500
5 Hg 0.750 0.500 0.500
6 Pt 0.500 0.000 0.000
7 Tl 0.534 0.091 0.591
8 Tl 0.875 0.591 0.909

Formation enthalpy at 0 K (meV per atom): 51
Energy (eV per atom): -3.15
Energy above the most stable polymorph in this dataset (meV per atom): 44
Space-group type: I-42d (122)
Mass density (g/cm3): 12.6


Record 5
A relaxed TlHg2Pt crystal. Source: Alexandria via LeMat-Bulk, functional GGA-PBEsol.

abc: 3.117 3.117 8.669
angles: 90.00 90.00 90.00
Element x y z (fractional)
1 Hg 0.500 0.500 0.280
2 Tl 0.500 0.500 0.718
3 Pt 0.000 0.000 0.491
4 Hg 0.000 0.000 0.012

Formation enthalpy at 0 K (meV per atom): 96
Energy (eV per atom): -2.59
Energy above the most stable polymorph in this dataset (meV per atom): 0
Space-group type: P4mm (99)
Mass density (g/cm3): 15.8


Record 6
A relaxed Tl2HgPt crystal. Source: Alexandria via LeMat-Bulk, functional GGA-PBEsol.

abc: 5.095 4.944 5.095
angles: 58.98 90.00 121.02
Element x y z (fractional)
1 Hg 0.500 0.000 0.500
2 Tl 0.750 0.500 0.750
3 Pt 0.000 0.000 0.000
4 Tl 0.250 0.500 0.250

Formation enthalpy at 0 K (meV per atom): 148
Energy (eV per atom): -3.05
Energy above the most stable polymorph in this dataset (meV per atom): 142
Space-group type: I4/mmm (139)
Mass density (g/cm3): 15.2


> Look up the energy of the first one.

-4.21 eV per atom